The following is a PBE-GGA calculation of an optimized crystal structure of CaBe3Sb, from the Alexandria database.

a b c (Å): 4.9734 4.9734 4.9734
angles (deg): 90.00 90.00 90.00
Fractional positions:
1 Sb 0.5000 0.5000 0.5000
2 Ca 0.0000 0.0000 0.0000
3 Be 0.0000 0.5000 0.0000
4 Be 0.0000 0.0000 0.5000
5 Be 0.5000 0.0000 0.0000

Output
* ΔE_f (raw): 1.85 eV per atom
* uncorrected energy: -1.61 eV/atom

***

The following is a PBE-GGA calculation of an optimized crystal structure of CaBeSb2, from the Alexandria database.

a b c (Å): 5.2008 5.2008 5.2008
angles (deg): 60.00 60.00 60.00
Fractional positions:
1 Sb 0.0000 0.0000 0.0000
2 Sb 0.7500 0.7500 0.7500
3 Ca 0.2500 0.2500 0.2500
4 Be 0.5000 0.5000 0.5000

Output
* ΔE_f (raw): 0.24 eV per atom
* uncorrected energy: -3.26 eV/atom

***

Q: Which of these has the highest ΔE_f (raw)?
A: CaBe3Sb